1.
An optimized crystal structure of Ho3TlCCl, computed with PBE.

Output
SG: No. 11
Uncorrected formation energy (eV/atom): -0.636

POSCAR file:
```
Ho3TlCCl
1.0
3.5834 0.0000 0.0000
0.0000 9.3627 0.7929
0.0000 -2.6578 8.8109
Tl Ho Cl C
2 6 2 2
direct
0.7500 0.8858 0.8394
0.2500 0.1142 0.1606
0.7500 0.7959 0.1626
0.2500 0.5715 0.8699
0.2500 0.2041 0.8374
0.7500 0.4285 0.1301
0.2500 0.6372 0.4245
0.7500 0.3628 0.5755
0.7500 0.8549 0.4570
0.2500 0.1451 0.5430
0.7500 0.3808 0.8423
0.2500 0.6192 0.1577
```

2.
An optimized crystal structure of TmScTl, computed with PBE.

Output
SG: No. 65
Distance to the lowest polymorph of the same formula (eV per atom): 0.541

POSCAR file:
```
TmScTl
1.0
-0.7557 1.5812 -4.5374
-5.0745 -3.8829 -0.5079
-4.1064 4.3948 2.2155
Sc Tl Tm
2 2 2
direct
0.5000 0.8200 0.1800
0.5000 0.1800 0.8200
0.5000 0.5000 0.5000
0.0000 0.0000 0.0000
0.0000 0.6864 0.6864
0.0000 0.3136 0.3136
```

3.
An optimized crystal structure of KHfSe2, computed with PBE.

Output
SG: No. 160
Uncorrected formation energy (eV/atom): -1.263

POSCAR file:
```
KHfSe2
1.0
-1.0019 0.3045 3.7127
1.5294 -2.3905 2.6129
6.1111 4.3963 3.2926
Se Hf K
2 1 1
direct
0.2672 0.2672 0.1985
0.0673 0.0673 0.7982
0.6675 0.6675 0.9975
0.4981 0.4981 0.5058
```

4.
An optimized crystal structure of CaRe4Te, computed with PBE.

Output
SG: No. 216
Uncorrected formation energy (eV/atom): 0.519

POSCAR file:
```
CaRe4Te
1.0
0.0000 3.8122 3.8122
3.8122 0.0000 3.8122
3.8122 3.8122 0.0000
Re Te Ca
4 1 1
direct
0.3756 0.3756 0.8731
0.3756 0.8731 0.3756
0.8731 0.3756 0.3756
0.3756 0.3756 0.3756
0.7500 0.7500 0.7500
0.0000 0.0000 0.0000
```

Summary of electronic total energy in eV per atom
-5.164; -4.107; -5.768; -8.637
(order as listed above)